This record from the Alexandria database describes crystalline KHgIr2 at its relaxed geometry. The functional is PBE-GGA.

a b c (Å): 2.8946 5.0028 10.6160
angles (deg): 90.00 90.00 90.00
Last column: nearest neighbours and their distance in Å.
Space group Immm (No. 71)
Symmetry-distinct sites (fractional):
K1 0.0000 0.0000 0.0000 [2 per cell]  4 Hg 2.89, 2 K 2.89
Hg1 0.0000 0.0000 0.5000 [2 per cell]  4 Ir 2.81, 4 K 2.89, 2 Hg 2.89
Ir1 0.0000 0.5000 0.2271 [4 per cell]  2 Hg 2.81, 6 Ir 2.89-2.93

Formation energy from the elements in kJ/mol of formula units: 286



This record from the Alexandria database describes crystalline KHg2Ir at its relaxed geometry. The functional is PBE-GGA.

a b c (Å): 4.4430 5.4612 8.1195
angles (deg): 90.00 90.00 90.00
Last column: nearest neighbours and their distance in Å.
Space group Immm (No. 71)
Symmetry-distinct sites (fractional):
K1 0.0000 0.0000 0.0000 [2 per cell]  8 Hg 3.21-3.25, 4 Ir 3.52
Hg1 0.0000 0.5000 0.2071 [4 per cell]  2 Ir 2.79
Ir1 0.0000 0.0000 0.5000 [2 per cell]  4 Hg 2.79

Formation energy from the elements in kJ/mol of formula units: 176
E above lowest polymorph in eV per atom: 0.4118



Q: Which of these has the lowest formation energy from the elements?
A: KHg2Ir